Crystalline Ta2CdTc at its relaxed geometry, computed with PBE.

Unit cell a=7.484 b=7.484 c=5.984 alpha=51.29 beta=51.29 gamma=90.00
Sites, in units of the cell vectors:
Tc1 0.250 0.750 0.500
Tc2 0.500 0.500 0.000
Cd1 0.750 0.250 0.500
Cd2 0.000 0.000 0.000
Ta1 0.875 0.831 0.750
Ta2 0.581 0.125 0.250
Ta3 0.375 0.419 0.750
Ta4 0.169 0.625 0.250

Results
Formation energy, eV/atom: 0.63
M_tot, μB per cell: 0.000


Crystalline Ta2CdTc at its relaxed geometry, computed with PBE.

Unit cell a=4.316 b=2.884 c=5.972 alpha=72.85 beta=90.00 gamma=90.00
Sites, in units of the cell vectors:
Tc1 0.500 0.250 0.250
Ta1 0.000 0.459 0.476
Ta2 0.000 0.041 0.024
Cd1 0.500 0.750 0.750

Results
Formation energy, eV/atom: 0.14
M_tot, μB per cell: 0.000


Crystalline Ta2CdTc at its relaxed geometry, computed with PBE.

Unit cell a=3.149 b=3.149 c=7.240 alpha=90.00 beta=90.00 gamma=90.00
Sites, in units of the cell vectors:
Tc1 0.500 0.500 0.250
Ta1 0.000 0.000 0.466
Ta2 0.000 0.000 0.034
Cd1 0.500 0.500 0.750

Results
Formation energy, eV/atom: 0.06
M_tot, μB per cell: 0.000


- What is the M_tot in the first record?
  0.000 μB per cell